VASP calculation (PBE-GGA) on crystalline InHg8I2 at its relaxed geometry.

Summary:
Magnetization   0.000 Bohr magnetons per cell
E   -0.833 eV/atom
D(E_F)   2.62 states/eV/f.u.
ΔE_f (raw)   -0.082 eV per atom

Unit cell a=6.720 b=9.853 c=9.853 alpha=42.67 beta=56.22 gamma=56.22
Fractional positions:
I 0.530 0.820 0.820
I 0.470 0.180 0.180
Hg 0.271 0.401 0.401
Hg 0.797 0.665 0.177
Hg 0.157 0.737 0.737
Hg 0.203 0.823 0.335
Hg 0.729 0.599 0.599
Hg 0.843 0.263 0.263
Hg 0.203 0.335 0.823
Hg 0.797 0.177 0.665
In 0.000 0.000 0.000

=====

VASP calculation (PBE-GGA) on crystalline In2Hg3I3 at its relaxed geometry.

Summary:
Magnetization   0.000 Bohr magnetons per cell
E   -1.624 eV/atom
D(E_F)   2.13 states/eV/f.u.
ΔE_f (raw)   -0.245 eV per atom

Unit cell a=10.990 b=10.990 c=10.990 alpha=87.21 beta=87.21 gamma=92.79
Fractional positions:
Hg 0.999 0.174 0.344
Hg 0.318 0.172 0.517
Hg 0.172 0.483 0.682
Hg 0.483 0.318 0.828
Hg 0.828 0.517 0.318
Hg 0.174 0.656 0.001
Hg 0.826 0.344 0.999
Hg 0.656 0.999 0.826
Hg 0.517 0.682 0.172
Hg 0.344 0.001 0.174
Hg 0.001 0.826 0.656
Hg 0.682 0.828 0.483
I 0.489 0.628 0.831
I 0.018 0.862 0.310
I 0.372 0.831 0.489
I 0.690 0.018 0.138
I 0.831 0.511 0.628
I 0.138 0.310 0.018
I 0.169 0.489 0.372
I 0.982 0.138 0.690
I 0.862 0.690 0.982
I 0.511 0.372 0.169
I 0.628 0.169 0.511
I 0.310 0.982 0.862
In 0.245 0.743 0.733
In 0.233 0.233 0.767
In 0.767 0.767 0.233
In 0.257 0.733 0.245
In 0.267 0.245 0.257
In 0.733 0.755 0.743
In 0.755 0.257 0.267
In 0.743 0.267 0.755

=====

VASP calculation (PBE-GGA) on crystalline InHg3I at its relaxed geometry.

Summary:
Magnetization   0.000 Bohr magnetons per cell
E   -1.084 eV/atom
D(E_F)   1.01 states/eV/f.u.
ΔE_f (raw)   -0.046 eV per atom

Unit cell a=5.706 b=5.706 c=5.706 alpha=90.00 beta=90.00 gamma=90.00
Fractional positions:
Hg 0.500 0.000 0.000
Hg 0.000 0.500 0.000
Hg 0.000 0.000 0.500
I 0.500 0.500 0.500
In 0.000 0.000 0.000

=====

Question: E of number 1 (InHg8I2)?
Answer: -0.833 eV/atom